CeHoCu4: optimized geometry, PBE.

```
6
Lattice="5.263 0.000 0.000 2.632 4.558 0.000 2.632 1.519 4.297" Properties=species:S:1:pos:R:3 pbc="T T T"
Ho 2.632 1.519 1.074
Cu 5.263 3.039 0.546
Ce 0.000 0.000 0.000
Cu 5.263 1.528 2.683
Cu 3.955 3.794 2.683
Cu 6.571 3.794 2.683
```

Values from the calculation:
calculated volume = 103.08 Å³/cell
M_tot = 0.128 μB/atom
formation enthalpy at 0 K = -0.114 eV/atom

***

TaCuNi2: optimized geometry, PBE.

```
4
Lattice="8.524 0.027 0.016 8.085 2.700 0.016 8.085 1.328 2.351" Properties=species:S:1:pos:R:3 pbc="T T T"
Cu 18.521 3.041 1.787
Ni 12.262 2.014 1.183
Ta 6.174 1.014 0.596
Ni 0.085 0.014 0.008
```

Values from the calculation:
calculated volume = 53.25 Å³/cell
M_tot = 0.000 μB/atom
formation enthalpy at 0 K = 0.092 eV/atom

***

TaTiRe: optimized geometry, PBE.

```
3
Lattice="-2.393 -3.625 0.100 2.013 1.363 3.601 -1.944 3.873 -0.393" Properties=species:S:1:pos:R:3 pbc="T T T"
Re -1.912 1.273 0.583
Ta -2.084 1.451 3.235
Ti -2.120 -1.167 1.631
```

Values from the calculation:
calculated volume = 58.20 Å³/cell
M_tot = 0.000 μB/atom
formation enthalpy at 0 K = 0.223 eV/atom

***

TbEr2AgHg4: optimized geometry, PBE.

```
8
Lattice="5.087 0.000 0.000 2.543 4.405 0.000 2.543 1.468 8.608" Properties=species:S:1:pos:R:3 pbc="T T T"
Ag 5.087 2.937 4.304
Hg 7.630 4.405 3.195
Hg 5.087 2.937 1.065
Hg 5.087 2.937 7.542
Tb 0.000 0.000 0.000
Hg 2.543 1.468 5.413
Er 7.630 4.405 6.246
Er 2.543 1.468 2.362
```

Values from the calculation:
calculated volume = 192.89 Å³/cell
M_tot = 0.000 μB/atom
formation enthalpy at 0 K = -0.384 eV/atom

***

Sm2YHoEr5: optimized geometry, PBE.

```
18
Lattice="8.613 0.000 0.000 0.000 8.613 0.000 -4.306 -4.306 7.708" Properties=species:S:1:pos:R:3 pbc="T T T"
Er 2.493 -1.813 5.572
Er 1.813 6.119 2.136
Er 6.119 6.800 2.136
Y 4.306 4.306 3.854
Sm 5.313 1.006 0.000
Sm 3.300 7.606 0.000
Ho 0.000 4.306 3.854
Ho 4.306 0.000 3.854
Er 0.000 0.000 0.000
Sm 1.006 3.300 0.000
Y 0.000 0.000 3.854
Er 2.493 1.813 2.136
Er 4.306 4.306 0.000
Sm 7.606 5.313 0.000
Er 1.813 2.493 5.572
Er -2.493 1.813 5.572
Er -1.813 -2.493 5.572
Er 6.800 2.493 2.136
```

Values from the calculation:
calculated volume = 571.76 Å³/cell
M_tot = 0.000 μB/atom
formation enthalpy at 0 K = 0.279 eV/atom

***

FeSbAu: optimized geometry, PBE.

```
6
Lattice="3.309 0.000 0.000 -1.654 2.871 0.000 0.000 0.000 12.534" Properties=species:S:1:pos:R:3 pbc="T T T"
Au 0.000 1.914 6.267
Sb 0.000 1.914 9.871
Au 0.000 1.916 0.000
Fe 1.654 0.955 4.402
Fe 1.654 0.955 8.132
Sb 0.000 1.914 2.663
```

Values from the calculation:
electronic total energy = -30.15 eV per cell
calculated volume = 119.05 Å³/cell
M_tot = 0.748 μB/atom